Below is an optimized crystal structure of PmLuRh, with properties calculated at the PBE-GGA level.

Geometry as extended XYZ:
```
3
Lattice="0.000 3.412 3.412 3.412 0.000 3.412 3.412 3.412 0.000" Properties=species:S:1:pos:R:3 pbc="T T T"
Pm 0.000 0.000 0.000
Lu 3.412 3.412 3.412
Rh 1.706 1.706 1.706
```

## Properties
E_form   -0.555 eV/atom
ΔE to the lowest computed polymorph   0.0 meV per atom
Space-group type   F-43m, No. 216
Crystal system   cubic
DOS(E_F)   1.030 states/eV per atom

***

Below is an optimized crystal structure of PmLuRuRh, with properties calculated at the PBE-GGA level.

Geometry as extended XYZ:
```
4
Lattice="0.000 3.424 3.424 3.424 0.000 3.424 3.424 3.424 0.000" Properties=species:S:1:pos:R:3 pbc="T T T"
Pm 0.000 0.000 0.000
Lu 3.424 3.424 3.424
Ru 1.712 1.712 1.712
Rh 5.136 5.136 5.136
```

## Properties
E_form   -0.568 eV/atom
Space-group type   F-43m, No. 216
Crystal system   cubic
DOS(E_F)   0.661 states/eV per atom

***

Below is an optimized crystal structure of PmLuSiRh, with properties calculated at the PBE-GGA level.

Geometry as extended XYZ:
```
4
Lattice="0.000 3.490 3.490 3.490 0.000 3.490 3.490 3.490 0.000" Properties=species:S:1:pos:R:3 pbc="T T T"
Pm 0.000 0.000 0.000
Lu 3.490 3.490 3.490
Si 5.234 5.234 5.234
Rh 1.745 1.745 1.745
```

## Properties
Formation energy without anion corrections   -0.62 eV/atom
Space-group type   F-43m, No. 216
Crystal system   cubic
DOS(E_F)   0.477 states/eV per atom

***

Below is an optimized crystal structure of PmLuZnRh, with properties calculated at the PBE-GGA level.

Geometry as extended XYZ:
```
4
Lattice="0.000 3.503 3.503 3.503 0.000 3.503 3.503 3.503 0.000" Properties=species:S:1:pos:R:3 pbc="T T T"
Pm 0.000 0.000 0.000
Lu 3.503 3.503 3.503
Zn 1.751 1.751 1.751
Rh 5.254 5.254 5.254
```

## Properties
E_form   -0.506 eV/atom
Space-group type   F-43m, No. 216
Crystal system   cubic
DOS(E_F)   0.585 states/eV per atom

***

Below is an optimized crystal structure of PmLuRu2, with properties calculated at the PBE-GGA level.

Geometry as extended XYZ:
```
4
Lattice="0.000 3.408 3.408 3.408 0.000 3.408 3.408 3.408 0.000" Properties=species:S:1:pos:R:3 pbc="T T T"
Pm 0.000 0.000 0.000
Lu 3.408 3.408 3.408
Ru 1.704 1.704 1.704
Ru 5.112 5.112 5.112
```

## Properties
E_form   -0.273 eV/atom
ΔE to the lowest computed polymorph   6.0 meV per atom
Space-group type   Fm-3m, No. 225
Crystal system   cubic
DOS(E_F)   1.117 states/eV per atom

***

Below is an optimized crystal structure of PmLuRu2, with properties calculated at the PBE-GGA level.

Geometry as extended XYZ:
```
4
Lattice="3.405 0.000 0.000 0.000 3.405 0.000 0.000 0.000 6.832" Properties=species:S:1:pos:R:3 pbc="T T T"
Pm 0.000 0.000 0.000
Lu 0.000 0.000 3.416
Ru 1.702 1.702 1.779
Ru 1.702 1.702 5.053
```

## Properties
E_form   -0.279 eV/atom
ΔE to the lowest computed polymorph   0.0 meV per atom
Space-group type   P4/mmm, No. 123
Crystal system   tetragonal
DOS(E_F)   1.268 states/eV per atom

***

Below is an optimized crystal structure of PmLu2Ru, with properties calculated at the PBE-GGA level.

Geometry as extended XYZ:
```
4
Lattice="1.743 1.006 9.956 -1.743 1.006 9.956 0.000 -2.013 9.956" Properties=species:S:1:pos:R:3 pbc="T T T"
Pm 0.000 0.000 0.000
Lu 0.000 0.000 6.861
Lu 0.000 0.000 23.007
Ru 0.000 0.000 14.934
```

## Properties
E_form   -0.076 eV/atom
ΔE to the lowest computed polymorph   239.9 meV per atom
Space-group type   R-3m, No. 166
Crystal system   trigonal
DOS(E_F)   1.521 states/eV per atom

***

Below is an optimized crystal structure of PmLu2Ru, with properties calculated at the PBE-GGA level.

Geometry as extended XYZ:
```
4
Lattice="3.391 0.000 0.000 0.000 3.391 0.000 0.000 0.000 8.819" Properties=species:S:1:pos:R:3 pbc="T T T"
Pm 0.000 0.000 0.000
Lu 1.696 1.696 2.820
Lu 1.696 1.696 5.999
Ru 0.000 0.000 4.409
```

## Properties
E_form   -0.316 eV/atom
ΔE to the lowest computed polymorph   0.0 meV per atom
Space-group type   P4/mmm, No. 123
Crystal system   tetragonal
DOS(E_F)   0.589 states/eV per atom

***

Question: Number 3 is which compound?
Answer: PmLuSiRh

***

Question: DOS(E_F) of number 4 (PmLuZnRh)?
Answer: 0.585 states/eV per atom